# 1
# NdSmMgCo (PBE-GGA, relaxed)
data_NdSmMgCo
_symmetry_space_group_name_H-M 'P 1'
_symmetry_Int_Tables_number 1
_cell_length_a 5.1637
_cell_length_b 5.1637
_cell_length_c 5.1637
_cell_angle_alpha 60.00
_cell_angle_beta 60.00
_cell_angle_gamma 60.00
loop_
_symmetry_equiv_pos_as_xyz
'x,y,z'
loop_
_atom_site_label
_atom_site_type_symbol
_atom_site_fract_x
_atom_site_fract_y
_atom_site_fract_z
_atom_site_occupancy
Co1 Co 0.5000 0.5000 0.5000 1
Mg1 Mg 0.0000 0.0000 0.0000 1
Nd1 Nd 0.7500 0.7500 0.7500 1
Sm1 Sm 0.2500 0.2500 0.2500 1
# DFT formation energy in kcal/mol of atoms: 1.527

# 2
# TbNdMgCo (PBE-GGA, relaxed)
data_TbNdMgCo
_symmetry_space_group_name_H-M 'P 1'
_symmetry_Int_Tables_number 1
_cell_length_a 5.1207
_cell_length_b 5.1207
_cell_length_c 5.1207
_cell_angle_alpha 60.00
_cell_angle_beta 60.00
_cell_angle_gamma 60.00
loop_
_symmetry_equiv_pos_as_xyz
'x,y,z'
loop_
_atom_site_label
_atom_site_type_symbol
_atom_site_fract_x
_atom_site_fract_y
_atom_site_fract_z
_atom_site_occupancy
Nd1 Nd 0.7500 0.7500 0.7500 1
Mg1 Mg 0.0000 0.0000 0.0000 1
Tb1 Tb 0.2500 0.2500 0.2500 1
Co1 Co 0.5000 0.5000 0.5000 1
# DFT formation energy in kcal/mol of atoms: 1.052

# 3
# NdYMgCo (PBE-GGA, relaxed)
data_NdYMgCo
_symmetry_space_group_name_H-M 'P 1'
_symmetry_Int_Tables_number 1
_cell_length_a 5.1197
_cell_length_b 5.1197
_cell_length_c 5.1197
_cell_angle_alpha 60.00
_cell_angle_beta 60.00
_cell_angle_gamma 60.00
loop_
_symmetry_equiv_pos_as_xyz
'x,y,z'
loop_
_atom_site_label
_atom_site_type_symbol
_atom_site_fract_x
_atom_site_fract_y
_atom_site_fract_z
_atom_site_occupancy
Y1 Y 0.7500 0.7500 0.7500 1
Co1 Co 0.5000 0.5000 0.5000 1
Mg1 Mg 0.0000 0.0000 0.0000 1
Nd1 Nd 0.2500 0.2500 0.2500 1
# DFT formation energy in kcal/mol of atoms: 0.866

# 4
# NdMgZnCo (PBE-GGA, relaxed)
data_NdMgZnCo
_symmetry_space_group_name_H-M 'P 1'
_symmetry_Int_Tables_number 1
_cell_length_a 4.8080
_cell_length_b 4.8080
_cell_length_c 4.8080
_cell_angle_alpha 60.00
_cell_angle_beta 60.00
_cell_angle_gamma 60.00
loop_
_symmetry_equiv_pos_as_xyz
'x,y,z'
loop_
_atom_site_label
_atom_site_type_symbol
_atom_site_fract_x
_atom_site_fract_y
_atom_site_fract_z
_atom_site_occupancy
Co1 Co 0.5000 0.5000 0.5000 1
Zn1 Zn 0.0000 0.0000 0.0000 1
Nd1 Nd 0.7500 0.7500 0.7500 1
Mg1 Mg 0.2500 0.2500 0.2500 1
# DFT formation energy in kcal/mol of atoms: -0.465

# 5
# Mg2CoNi2 (PBE-GGA, relaxed)
data_Mg2CoNi2
_symmetry_space_group_name_H-M 'P 1'
_symmetry_Int_Tables_number 1
_cell_length_a 6.0108
_cell_length_b 6.0108
_cell_length_c 4.0042
_cell_angle_alpha 90.00
_cell_angle_beta 90.00
_cell_angle_gamma 90.00
loop_
_symmetry_equiv_pos_as_xyz
'x,y,z'
loop_
_atom_site_label
_atom_site_type_symbol
_atom_site_fract_x
_atom_site_fract_y
_atom_site_fract_z
_atom_site_occupancy
Ni1 Ni 0.3657 0.8657 0.0000 1
Ni2 Ni 0.8657 0.6343 0.0000 1
Ni3 Ni 0.6343 0.1343 0.0000 1
Ni4 Ni 0.1343 0.3657 0.0000 1
Mg1 Mg 0.1751 0.6751 0.5000 1
Mg2 Mg 0.6751 0.8249 0.5000 1
Mg3 Mg 0.8249 0.3249 0.5000 1
Mg4 Mg 0.3249 0.1751 0.5000 1
Co1 Co 0.0000 0.0000 0.0000 1
Co2 Co 0.5000 0.5000 0.0000 1
# DFT formation energy in kcal/mol of atoms: -0.177
# Energy above the most stable polymorph in this dataset in meV per atom: 0

# 6
# Mg4CoNi (PBE-GGA, relaxed)
data_Mg4CoNi
_symmetry_space_group_name_H-M 'P 1'
_symmetry_Int_Tables_number 1
_cell_length_a 5.3712
_cell_length_b 5.3712
_cell_length_c 5.3712
_cell_angle_alpha 60.00
_cell_angle_beta 60.00
_cell_angle_gamma 60.00
loop_
_symmetry_equiv_pos_as_xyz
'x,y,z'
loop_
_atom_site_label
_atom_site_type_symbol
_atom_site_fract_x
_atom_site_fract_y
_atom_site_fract_z
_atom_site_occupancy
Mg1 Mg 0.8751 0.3750 0.3750 1
Mg2 Mg 0.3750 0.3750 0.8751 1
Mg3 Mg 0.3750 0.8751 0.3750 1
Mg4 Mg 0.3750 0.3750 0.3750 1
Co1 Co 0.0000 0.0000 0.0000 1
Ni1 Ni 0.7500 0.7500 0.7500 1
# DFT formation energy in kcal/mol of atoms: 13.592

# 7
# Mg6CoNi (PBE-GGA, relaxed)
data_Mg6CoNi
_symmetry_space_group_name_H-M 'P 1'
_symmetry_Int_Tables_number 1
_cell_length_a 5.7059
_cell_length_b 5.7059
_cell_length_c 4.3954
_cell_angle_alpha 90.00
_cell_angle_beta 90.00
_cell_angle_gamma 91.71
loop_
_symmetry_equiv_pos_as_xyz
'x,y,z'
loop_
_atom_site_label
_atom_site_type_symbol
_atom_site_fract_x
_atom_site_fract_y
_atom_site_fract_z
_atom_site_occupancy
Mg1 Mg 0.6384 0.8938 0.5000 1
Mg2 Mg 0.1062 0.3616 0.5000 1
Mg3 Mg 0.8216 0.5642 0.0000 1
Mg4 Mg 0.4358 0.1784 0.0000 1
Mg5 Mg 0.3285 0.6715 0.0000 1
Mg6 Mg 0.9513 0.0487 0.0000 1
Co1 Co 0.1393 0.8607 0.5000 1
Ni1 Ni 0.5789 0.4211 0.5000 1
# DFT formation energy in kcal/mol of atoms: 1.791
# Energy above the most stable polymorph in this dataset in meV per atom: 26

# 8
# MgCoNi (PBE-GGA, relaxed)
data_MgCoNi
_symmetry_space_group_name_H-M 'P 1'
_symmetry_Int_Tables_number 1
_cell_length_a 4.1680
_cell_length_b 4.1680
_cell_length_c 2.6288
_cell_angle_alpha 90.00
_cell_angle_beta 90.00
_cell_angle_gamma 120.00
loop_
_symmetry_equiv_pos_as_xyz
'x,y,z'
loop_
_atom_site_label
_atom_site_type_symbol
_atom_site_fract_x
_atom_site_fract_y
_atom_site_fract_z
_atom_site_occupancy
Co1 Co 0.0000 0.0000 0.8388 1
Mg1 Mg 0.3333 0.6667 0.3336 1
Ni1 Ni 0.6667 0.3333 0.8276 1
# DFT formation energy in kcal/mol of atoms: 2.458
# Energy above the most stable polymorph in this dataset in meV per atom: 234

# 9
# MgCoNi4 (PBE-GGA, relaxed)
data_MgCoNi4
_symmetry_space_group_name_H-M 'P 1'
_symmetry_Int_Tables_number 1
_cell_length_a 4.7124
_cell_length_b 4.7124
_cell_length_c 4.7124
_cell_angle_alpha 60.00
_cell_angle_beta 60.00
_cell_angle_gamma 60.00
loop_
_symmetry_equiv_pos_as_xyz
'x,y,z'
loop_
_atom_site_label
_atom_site_type_symbol
_atom_site_fract_x
_atom_site_fract_y
_atom_site_fract_z
_atom_site_occupancy
Mg1 Mg 0.0000 0.0000 0.0000 1
Co1 Co 0.2500 0.2500 0.2500 1
Ni1 Ni 0.6248 0.6248 0.1256 1
Ni2 Ni 0.6248 0.1256 0.6248 1
Ni3 Ni 0.6248 0.6248 0.6248 1
Ni4 Ni 0.1256 0.6248 0.6248 1
# DFT formation energy in kcal/mol of atoms: 0.987

# 10
# Mg6CoNi (PBE-GGA, relaxed)
data_Mg6CoNi
_symmetry_space_group_name_H-M 'P 1'
_symmetry_Int_Tables_number 1
_cell_length_a 5.9209
_cell_length_b 5.9209
_cell_length_c 4.6321
_cell_angle_alpha 90.00
_cell_angle_beta 90.00
_cell_angle_gamma 119.98
loop_
_symmetry_equiv_pos_as_xyz
'x,y,z'
loop_
_atom_site_label
_atom_site_type_symbol
_atom_site_fract_x
_atom_site_fract_y
_atom_site_fract_z
_atom_site_occupancy
Mg1 Mg 0.0979 0.4242 0.0000 1
Mg2 Mg 0.5758 0.9021 0.0000 1
Mg3 Mg 0.5760 0.4240 0.0000 1
Mg4 Mg 0.3989 0.0744 0.5000 1
Mg5 Mg 0.9256 0.6011 0.5000 1
Mg6 Mg 0.9256 0.0744 0.5000 1
Co1 Co 0.0832 0.9168 0.0000 1
Ni1 Ni 0.4169 0.5831 0.5000 1
# DFT formation energy in kcal/mol of atoms: 1.183
# Energy above the most stable polymorph in this dataset in meV per atom: 0

# 11
# MgCoNi (PBE-GGA, relaxed)
data_MgCoNi
_symmetry_space_group_name_H-M 'P 1'
_symmetry_Int_Tables_number 1
_cell_length_a 4.8551
_cell_length_b 4.8551
_cell_length_c 4.8551
_cell_angle_alpha 88.65
_cell_angle_beta 122.17
_cell_angle_gamma 119.42
loop_
_symmetry_equiv_pos_as_xyz
'x,y,z'
loop_
_atom_site_label
_atom_site_type_symbol
_atom_site_fract_x
_atom_site_fract_y
_atom_site_fract_z
_atom_site_occupancy
Mg1 Mg 0.2500 0.1263 0.8763 1
Mg2 Mg 0.7500 0.8737 0.1237 1
Co1 Co 0.5000 0.5000 0.5000 1
Co2 Co 0.0000 0.5000 0.0000 1
Ni1 Ni 0.0000 0.5000 0.5000 1
Ni2 Ni 0.5000 0.0000 0.5000 1
# DFT formation energy in kcal/mol of atoms: -2.219
# Energy above the most stable polymorph in this dataset in meV per atom: 31

# 12
# MgCo4Ni (PBE-GGA, relaxed)
data_MgCo4Ni
_symmetry_space_group_name_H-M 'P 1'
_symmetry_Int_Tables_number 1
_cell_length_a 4.7246
_cell_length_b 4.7246
_cell_length_c 4.7246
_cell_angle_alpha 60.00
_cell_angle_beta 60.00
_cell_angle_gamma 60.00
loop_
_symmetry_equiv_pos_as_xyz
'x,y,z'
loop_
_atom_site_label
_atom_site_type_symbol
_atom_site_fract_x
_atom_site_fract_y
_atom_site_fract_z
_atom_site_occupancy
Mg1 Mg 0.7500 0.7500 0.7500 1
Co1 Co 0.8759 0.3747 0.3747 1
Co2 Co 0.3747 0.3747 0.8759 1
Co3 Co 0.3747 0.8759 0.3747 1
Co4 Co 0.3747 0.3747 0.3747 1
Ni1 Ni 0.0000 0.0000 0.0000 1
# DFT formation energy in kcal/mol of atoms: 2.523